[1]
DFT (PBE-GGA) results for a geometry-optimized Na2CrTcSn structure.

Cell lengths 5.550, 4.192, 5.550 Å; angles 90.00, 90.00, 90.00 degrees
Positions (direct):
Sn  0.500  0.500  0.500
Cr  0.000  0.500  0.000
Na  0.000  0.000  0.500
Tc  0.000  0.000  0.000
Na  0.500  0.000  0.000

E above lowest polymorph in kJ per mole of atoms: 14.4

[2]
DFT (PBE-GGA) results for a geometry-optimized NaYCrSn2 structure.

Cell lengths 5.811, 5.811, 5.438 Å; angles 90.00, 90.00, 90.00 degrees
Positions (direct):
Y  0.000  0.000  0.000
Na  0.500  0.500  0.500
Sn  0.000  0.500  0.000
Sn  0.500  0.000  0.000
Cr  0.000  0.000  0.500

Density of states at the Fermi level across the listed records, respectively: 6.06 3.52 states/eV/f.u..
Energy relative to the elements across the listed records, respectively: 1.195 0.701 eV per atom.
Total magnetic moment across the listed records, respectively: 0.0 4.1 Bohr magnetons per cell.